Entry 1:
DFT (GGA-PBE) results for a relaxed BaSi2Tc crystal.

ρ (g/cm³): 4.35
Total magnetization (μB per atom): 0.00
Density of states at the Fermi level (states/eV/f.u.): 4.21
V (Å³/atom): 27.789
ΔE to the lowest computed polymorph (kJ/mol of atoms): 4.3

abc: 5.477 5.477 14.821
angles: 90.00 90.00 90.00
Space group I4_1/amd (No. 141, origin choice 2)
Unique sites:
Ba 0.000 0.250 0.375 x4
Si 0.000 0.000 0.000 x8
Tc 0.000 0.250 0.875 x4

---

Entry 2:
DFT (GGA-PBE) results for a relaxed Nd3Er5Se12 crystal.

ρ (g/cm³): 6.06
VASP energy (eV/cell): -905.82
Total magnetization (μB per atom): 0.00
Density of states at the Fermi level (states/eV/f.u.): 0.00
V (Å³/atom): 30.344

abc: 16.933 16.933 16.933
angles: 90.00 90.00 90.00
Space group Ia-3d (No. 230)
Unique sites:
Nd 0.000 0.250 0.125 x24
Er 0.000 0.000 0.000 x16
Er 0.000 0.250 0.375 x24
Se 0.023 0.068 0.652 x96

---

Entry 3:
DFT (GGA-PBE) results for a relaxed Ac2Tb3Ho2 crystal.

ρ (g/cm³): 8.58
Total magnetization (μB per atom): 0.00
Density of states at the Fermi level (states/eV/f.u.): 9.42
V (Å³/atom): 34.861
Formation enthalpy at 0 K (eV/atom): 0.05

abc: 12.023 3.703 11.007
angles: 90.00 95.11 90.00
Space group C2/m (No. 12)
Unique sites:
Ac 0.215 0.000 0.349 x4
Tb 0.000 0.500 0.500 x2
Tb 0.141 0.500 0.064 x4
Ho 0.068 0.000 0.793 x4

---

Entry 4:
DFT (GGA-PBE) results for a relaxed Mn2BeHg crystal.

ρ (g/cm³): 9.30
Total magnetization (μB per atom): 1.57
Density of states at the Fermi level (states/eV/f.u.): 3.52
V (Å³/atom): 14.258
Formation enthalpy at 0 K (eV/atom): 0.36
ΔE to the lowest computed polymorph (kJ/mol of atoms): 12.7

abc: 3.786 3.903 7.718
angles: 90.00 90.00 90.00
Space group Immm (No. 71)
Unique sites:
Mn 0.000 0.000 0.246 x4
Be 0.000 0.500 0.500 x2
Hg 0.000 0.500 0.000 x2

---

Entry 5:
DFT (GGA-PBE) results for a relaxed KAl2CuTe4 crystal.

ρ (g/cm³): 4.11
VASP energy (eV/cell): -56.65
Total magnetization (μB per atom): 0.00
Density of states at the Fermi level (states/eV/f.u.): 0.37
V (Å³/atom): 33.668

abc: 6.260 6.260 13.746
angles: 90.00 90.00 90.00
Space group I-42m (No. 121)
Unique sites:
K 0.000 0.000 0.000 x2
Al 0.000 0.500 0.250 x4
Cu 0.000 0.000 0.500 x2
Te 0.213 0.213 0.640 x8

---

Entry 6:
DFT (GGA-PBE) results for a relaxed CsTlCu3 crystal.

ρ (g/cm³): 6.19
Total magnetization (μB per atom): 0.00
Density of states at the Fermi level (states/eV/f.u.): 1.63
V (Å³/atom): 28.305
Formation enthalpy at 0 K (eV/atom): 0.53
ΔE to the lowest computed polymorph (kJ/mol of atoms): 0.0

abc: 5.211 5.211 5.211
angles: 90.00 90.00 90.00
Space group Pm-3m (No. 221)
Unique sites:
Cs 0.000 0.000 0.000 x1
Tl 0.500 0.500 0.500 x1
Cu 0.000 0.500 0.500 x3

---

Entry 7:
DFT (GGA-PBE) results for a relaxed GaHgIr2 crystal.

ρ (g/cm³): 14.47
Total magnetization (μB per atom): 0.00
Density of states at the Fermi level (states/eV/f.u.): 3.00
V (Å³/atom): 18.784
Formation enthalpy at 0 K (eV/atom): 0.48
ΔE to the lowest computed polymorph (kJ/mol of atoms): 25.1

abc: 4.088 4.088 17.985
angles: 90.00 90.00 90.00
Space group I-42d (No. 122)
Unique sites:
Ga 0.000 0.000 0.000 x4
Hg 0.000 0.000 0.500 x4
Ir 0.180 0.250 0.125 x8

---

Entry 8:
DFT (GGA-PBE) results for a relaxed TcAs2Ir crystal.

ρ (g/cm³): 9.96
Total magnetization (μB per atom): 0.00
Density of states at the Fermi level (states/eV/f.u.): 4.22
V (Å³/atom): 18.346
Formation enthalpy at 0 K (eV/atom): 0.06
ΔE to the lowest computed polymorph (kJ/mol of atoms): 10.0

abc: 2.9000 2.9000 30.2274
angles: 90.00 90.00 120.00
Space group R3m (No. 160, hexagonal axes)
Unique sites:
Tc 0.0000 0.0000 0.0000 x3
As 0.0000 0.0000 0.5271 x3
As 0.0000 0.0000 0.7299 x3
Ir 0.0000 0.0000 0.2586 x3

---

Entry 9:
DFT (GGA-PBE) results for a relaxed Tb3Ho2Ag2 crystal.

ρ (g/cm³): 8.92
Total magnetization (μB per atom): 0.00
Density of states at the Fermi level (states/eV/f.u.): 7.48
V (Å³/atom): 27.197
Formation enthalpy at 0 K (eV/atom): -0.11
ΔE to the lowest computed polymorph (kJ/mol of atoms): 0.0

abc: 5.3376 5.3376 23.1501
angles: 90.00 90.00 120.00
Space group R-3m (No. 166, hexagonal axes)
Unique sites:
Tb 0.0000 0.0000 0.0000 x3
Tb 0.0000 0.0000 0.1618 x6
Ho 0.0000 0.0000 0.4249 x6
Ag 0.0000 0.0000 0.2886 x6

---

Entry 10:
DFT (GGA-PBE) results for a relaxed SiPb2Au crystal.

ρ (g/cm³): 10.52
VASP energy (eV/cell): -15.72
Total magnetization (μB per atom): 0.00
Density of states at the Fermi level (states/eV/f.u.): 1.95
V (Å³/atom): 25.222

abc: 4.520 4.146 5.816
angles: 90.00 112.22 90.00
Space group Pm (No. 6)
Unique sites:
Si 0.000 0.000 0.000 x1
Pb 0.286 0.000 0.566 x1
Pb 0.585 0.500 0.164 x1
Au 0.877 0.500 0.735 x1

---

Entry 11:
DFT (GGA-PBE) results for a relaxed AcAlCd2Pd4 crystal.

ρ (g/cm³): 9.37
Total magnetization (μB per atom): 0.00
Density of states at the Fermi level (states/eV/f.u.): 4.10
V (Å³/atom): 20.027
Formation enthalpy at 0 K (eV/atom): -0.60

abc: 4.5732 4.5732 26.5379
angles: 90.00 90.00 120.00
Space group R-3m (No. 166, hexagonal axes)
Unique sites:
Ac 0.0000 0.0000 0.0000 x3
Al 0.0000 0.0000 0.5000 x3
Cd 0.0000 0.0000 0.2396 x6
Pd 0.0000 0.0000 0.1344 x6
Pd 0.0000 0.0000 0.4047 x6

---

Entry 12:
DFT (GGA-PBE) results for a relaxed Hg4SbI3 crystal.

ρ (g/cm³): 6.21
Total magnetization (μB per atom): 0.00
V (Å³/atom): 43.619
ΔE to the lowest computed polymorph (kJ/mol of atoms): 5.8

abc: 8.022 12.137 7.168
angles: 90.00 90.00 90.00
Space group Imm2 (No. 44)
Unique sites:
Hg 0.000 0.237 0.000 x4
Hg 0.219 0.500 0.341 x4
Sb 0.000 0.000 0.054 x2
I 0.000 0.307 0.498 x4
I 0.000 0.500 0.003 x2

---

Entry 13:
DFT (GGA-PBE) results for a relaxed PaBeIr crystal.

ρ (g/cm³): 14.23
Total magnetization (μB per atom): 0.00
Density of states at the Fermi level (states/eV/f.u.): 2.97
V (Å³/atom): 16.810
Formation enthalpy at 0 K (eV/atom): -0.51
ΔE to the lowest computed polymorph (kJ/mol of atoms): 11.7

abc: 11.491 3.546 5.151
angles: 90.00 106.05 90.00
Space group C2/m (No. 12)
Unique sites:
Pa 0.120 0.000 0.320 x4
Be 0.230 0.000 0.874 x4
Ir 0.093 0.500 0.763 x4

---

Entry 14:
DFT (GGA-PBE) results for a relaxed MgNiAs2 crystal.

ρ (g/cm³): 5.34
Total magnetization (μB per atom): 0.00
Density of states at the Fermi level (states/eV/f.u.): 1.25
V (Å³/atom): 18.090
Formation enthalpy at 0 K (eV/atom): -0.15

abc: 3.036 3.036 7.853
angles: 90.00 90.00 90.00
Space group P4mm (No. 99)
Unique sites:
Mg 0.000 0.000 0.000 x1
Ni 0.500 0.500 0.229 x1
As 0.000 0.000 0.372 x1
As 0.500 0.500 0.765 x1

---

Entry 15:
DFT (GGA-PBE) results for a relaxed Al2TlTeSe6 crystal.

ρ (g/cm³): 4.84
VASP energy (eV/cell): -151.19
Total magnetization (μB per atom): 0.00
Density of states at the Fermi level (states/eV/f.u.): 0.86
V (Å³/atom): 29.502

abc: 13.824 11.760 7.739
angles: 90.00 110.30 90.00
Space group C2/c (No. 15)
Unique sites:
Al 0.219 0.082 0.173 x8
Tl 0.000 0.255 0.250 x4
Te 0.000 0.265 0.750 x4
Se 0.102 0.403 0.619 x8
Se 0.147 0.039 0.412 x8
Se 0.165 0.278 0.093 x8

---

Entry 16:
DFT (GGA-PBE) results for a relaxed MgCuHg4 crystal.

ρ (g/cm³): 10.40
Total magnetization (μB per atom): 0.00
Density of states at the Fermi level (states/eV/f.u.): 3.29
V (Å³/atom): 23.685
Formation enthalpy at 0 K (eV/atom): 0.35

abc: 8.284 8.284 8.284
angles: 90.00 90.00 90.00
Space group F-43m (No. 216)
Unique sites:
Mg 0.000 0.000 0.000 x4
Cu 0.250 0.250 0.750 x4
Hg 0.125 0.125 0.375 x16

---

Entry 17:
DFT (GGA-PBE) results for a relaxed V2InBr6 crystal.

ρ (g/cm³): 4.09
VASP energy (eV/cell): -38.38
Total magnetization (μB per atom): 0.56
Density of states at the Fermi level (states/eV/f.u.): 9.21
V (Å³/atom): 31.407

abc: 6.7806 6.7806 7.0989
angles: 90.00 90.00 120.00
Space group P-31m (No. 162)
Unique sites:
V 0.3333 0.6667 0.0000 x2
In 0.0000 0.0000 0.5000 x1
Br 0.0000 0.3760 0.2084 x6

---

Entry 18:
DFT (GGA-PBE) results for a relaxed MnSb2Pb crystal.

ρ (g/cm³): 7.90
VASP energy (eV/cell): -62.54
Total magnetization (μB per atom): 0.86
Density of states at the Fermi level (states/eV/f.u.): 1.37
V (Å³/atom): 26.560

abc: 4.0896 4.0896 22.0049
angles: 90.00 90.00 120.00
Space group R-3m (No. 166, hexagonal axes)
Unique sites:
Mn 0.0000 0.0000 0.0000 x3
Sb 0.0000 0.0000 0.2691 x6
Pb 0.0000 0.0000 0.5000 x3

---

Entry 19:
DFT (GGA-PBE) results for a relaxed Tm5InAg4 crystal.

ρ (g/cm³): 9.78
Total magnetization (μB per atom): 0.00
Density of states at the Fermi level (states/eV/f.u.): 5.90
V (Å³/atom): 23.620
Formation enthalpy at 0 K (eV/atom): -0.36

abc: 3.564 3.564 18.595
angles: 90.00 90.00 90.00
Space group P4/mmm (No. 123)
Unique sites:
Tm 0.000 0.000 0.000 x1
Tm 0.000 0.000 0.195 x2
Tm 0.000 0.000 0.390 x2
In 0.500 0.500 0.500 x1
Ag 0.500 0.500 0.097 x2
Ag 0.500 0.500 0.294 x2

---

Entry 20:
DFT (GGA-PBE) results for a relaxed TbHoTaN3 crystal.

ρ (g/cm³): 9.42
VASP energy (eV/cell): -105.78
Total magnetization (μB per atom): 0.00
Density of states at the Fermi level (states/eV/f.u.): 1.73
V (Å³/atom): 16.064

abc: 7.168 3.398 7.915
angles: 90.00 90.65 90.00
Space group P2_1/m (No. 11)
Unique sites:
Tb 0.146 0.250 0.155 x2
Ho 0.394 0.750 0.847 x2
Ta 0.127 0.250 0.580 x2
N 0.128 0.250 0.838 x2
N 0.180 0.750 0.451 x2
N 0.380 0.750 0.123 x2